A relaxed structure of PrV2PO8. Source: the Alexandria database, functional PBE+U.

Properties
Final energy   -7.30 eV/atom
SG   P-3m1 (164)
Calculated volume   10.79 A^3/atom
Magnetic moment   2.000 μB per cell

POSCAR file:
```
PrV2PO8
1.0
-0.7751 2.9768 3.8384
0.2871 -4.8635 0.6780
6.1022 0.4801 0.8599
Pr V P O
1 2 1 8
direct
0.0000 0.0000 0.5000 Pr
0.6667 0.3333 0.1058 V
0.3333 0.6667 0.8942 V
0.0000 0.0000 0.0000 P
0.8370 0.6740 0.8462 O
0.3260 0.1630 0.8462 O
0.8370 0.1630 0.8462 O
0.1630 0.3260 0.1538 O
0.6740 0.8370 0.1538 O
0.1630 0.8370 0.1538 O
0.6667 0.3333 0.3844 O
0.3333 0.6667 0.6156 O
```